CsK2Zn2 after structural relaxation, computed with GGA-PBE.

Computed properties:
Its symmetry is P4/mbm, No. 127. The calculation puts the formation energy at 0.2130 eV/atom. The value obtained for the total energy is -9.063 eV per cell. The offset from the most stable computed form is 0.088 eV per atom.

Lattice parameters (Å, degrees): 10.3540 10.3540 4.2051 90.00 90.00 90.00
Element x y z (fractional)
Cs: 0.5000 0.5000 0.0000
Cs: 0.0000 0.0000 0.0000
Zn: 0.6648 0.1648 0.5000
Zn: 0.1648 0.3352 0.5000
Zn: 0.8352 0.6648 0.5000
Zn: 0.3352 0.8352 0.5000
K: 0.6292 0.8708 0.0000
K: 0.3708 0.1292 0.0000
K: 0.1292 0.6292 0.0000
K: 0.8708 0.3708 0.0000

MnTcAs2 after structural relaxation, computed with GGA-PBE.

Computed properties:
Its symmetry is Fm-3m, No. 225. The calculation puts the formation energy at 0.0269 eV/atom. The value obtained for the total energy is -28.727 eV per cell. The offset from the most stable computed form is 0.133 eV per atom.

Lattice parameters (Å, degrees): 4.2715 4.2715 4.2715 60.00 60.00 60.00
Element x y z (fractional)
Tc: 0.5000 0.5000 0.5000
As: 0.7500 0.7500 0.7500
As: 0.2500 0.2500 0.2500
Mn: 0.0000 0.0000 0.0000

CdPb2Se after structural relaxation, computed with GGA-PBE.

Computed properties:
Its symmetry is C2/m, No. 12. The value obtained for the total energy is -12.094 eV per cell. The offset from the most stable computed form is 0.090 eV per atom.

Lattice parameters (Å, degrees): 6.1091 6.1091 5.4292 63.85 63.85 39.15
Element x y z (fractional)
Pb: 0.4714 0.4714 0.5282
Pb: 0.0286 0.0286 0.9718
Se: 0.7500 0.7500 0.7500
Cd: 0.2500 0.2500 0.2500